# 1
DFT (PBE) results for a relaxed structure of YSiCl2.

Cell: 3.7471 4.7055 5.5142 Å, 90.00 90.00 90.00°
Last column: nearest neighbours and their distance in Å.
Sites, in units of the cell vectors:
Cl  0.0000  0.0000  0.9982  1 Si 2.21
Cl  0.5000  0.5000  0.2151  2 Y 2.62-2.90
Si  0.0000  0.0000  0.5972  1 Cl 2.21
Y  0.5000  0.5000  0.6895  2 Cl 2.62-2.90

Summary:
Crystal system: orthorhombic
Relative energy among the computed polymorphs, meV/atom: 200
Space-group type: Pmm2
E_form (uncorrected), meV per atom: -846

# 2
DFT (PBE) results for a relaxed structure of Pm2IrI2.

Cell: 4.2013 4.2013 11.8430 Å, 79.78 79.78 60.00°
Last column: nearest neighbours and their distance in Å.
Sites, in units of the cell vectors:
Pm  0.3789  0.3789  0.8632  3 Ir 2.90
Pm  0.6211  0.6211  0.1368  3 Ir 2.90
Ir  0.0000  0.0000  0.0000  6 Pm 2.90
I  0.8914  0.8914  0.3258  3 Pm 3.27
I  0.1086  0.1086  0.6742  3 Pm 3.27

Summary:
Crystal system: trigonal
Relative energy among the computed polymorphs, meV/atom: 41
Space-group type: R-3m
E_form (uncorrected), meV per atom: -1021

# 3
DFT (PBE) results for a relaxed structure of Ho13Sc2.

Cell: 6.4921 8.8165 8.7991 Å, 114.40 81.38 98.48°
Last column: nearest neighbours and their distance in Å.
Sites, in units of the cell vectors:
Ho  0.6901  0.6421  0.0454  7 Ho 3.18-3.54
Ho  0.3099  0.3579  0.9546  7 Ho 3.18-3.54
Ho  0.0000  0.0000  0.0000  12 Ho 3.44-3.69, 2 Sc 3.73
Ho  0.2822  0.0189  0.6214  2 Sc 3.12-3.40, 4 Ho 3.21-3.49
Ho  0.7178  0.9811  0.3786  2 Sc 3.12-3.40, 4 Ho 3.21-3.49
Ho  0.0955  0.5765  0.7727  2 Sc 3.13-3.41, 3 Ho 3.23-3.50
Ho  0.9045  0.4235  0.2273  2 Sc 3.13-3.41, 3 Ho 3.23-3.50
Ho  0.3978  0.5971  0.4007  11 Ho 3.40-3.76, 3 Sc 3.51-3.58
Ho  0.6022  0.4029  0.5993  11 Ho 3.40-3.76, 3 Sc 3.51-3.58
Ho  0.5153  0.8380  0.8266  1 Sc 3.11, 4 Ho 3.21-3.46
Ho  0.4847  0.1620  0.1734  1 Sc 3.11, 4 Ho 3.21-3.46
Ho  0.8051  0.2025  0.7996  12 Ho 3.44-3.81, 2 Sc 3.55-3.74
Ho  0.1949  0.7975  0.2004  12 Ho 3.44-3.81, 2 Sc 3.55-3.74
Sc  0.8946  0.7522  0.5543  5 Ho 3.11-3.41
Sc  0.1054  0.2478  0.4457  5 Ho 3.11-3.41

Summary:
Crystal system: triclinic
Space-group type: P-1
DFT total energy, eV per atom: -4.739

# 4
DFT (PBE) results for a relaxed structure of BeHgOs2.

Cell: 3.9591 2.8337 5.5349 Å, 73.27 90.00 90.00°
Last column: nearest neighbours and their distance in Å.
Sites, in units of the cell vectors:
Be  0.5000  0.2500  0.2500  4 Os 2.37
Os  0.0000  0.0982  0.0491  2 Be 2.37, 2 Os 2.51-2.60
Os  0.0000  0.4018  0.4509  2 Be 2.37, 2 Os 2.51-2.60
Hg  0.5000  0.7500  0.7500  2 Be 2.72, 2 Hg 2.83, 8 Os 2.88-2.93

Summary:
Crystal system: monoclinic
Relative energy among the computed polymorphs, meV/atom: 304
Space-group type: P2/m

# 5
DFT (PBE) results for a relaxed structure of CaTmAgHg.

Cell: 3.6556 3.6556 7.4901 Å, 90.00 90.00 90.00°
Last column: nearest neighbours and their distance in Å.
Sites, in units of the cell vectors:
Ca  0.5000  0.5000  0.1114  4 Ag 3.27, 4 Hg 3.29, 1 Tm 3.64, 4 Ca 3.66
Tm  0.5000  0.5000  0.5980  4 Ag 3.07, 4 Hg 3.16
Ag  0.0000  0.0000  0.3779  4 Tm 3.07, 4 Ca 3.27
Hg  0.0000  0.0000  0.8407  4 Tm 3.16, 4 Ca 3.29, 1 Ag 3.47

Summary:
Crystal system: tetragonal
Relative energy among the computed polymorphs, meV/atom: 0
Space-group type: P4mm

# 6
DFT (PBE) results for a relaxed structure of Al2InAg.

Cell: 5.2410 5.2410 5.2410 Å, 132.37 132.37 69.65°
Last column: nearest neighbours and their distance in Å.
Sites, in units of the cell vectors:
Al  0.0000  0.0000  0.0000  4 Al 2.99, 4 Ag 3.02, 4 In 3.02
Al  0.5000  0.5000  0.0000  4 Al 2.99, 4 In 3.02, 4 Ag 3.02
Ag  0.7500  0.2500  0.5000  4 In 2.99, 8 Al 3.02
In  0.2500  0.7500  0.5000  4 Ag 2.99, 8 Al 3.02

Summary:
Crystal system: tetragonal
Space-group type: I4/mmm
DFT total energy, eV per atom: -3.145

# 7
DFT (PBE) results for a relaxed structure of NdDyEr2Bi4.

Cell: 4.5003 7.7838 7.7873 Å, 70.51 90.00 90.00°
Last column: nearest neighbours and their distance in Å.
Sites, in units of the cell vectors:
Nd  0.5000  0.5000  0.0000  6 Bi 3.23
Dy  0.0000  0.5000  0.5000  6 Bi 3.19
Er  0.0000  0.0000  0.0000  6 Bi 3.17
Er  0.5000  0.0000  0.5000  6 Bi 3.13
Bi  0.0000  0.7580  0.7433  3 Er 3.13-3.17, 1 Dy 3.19, 2 Nd 3.23
Bi  0.0000  0.2420  0.2567  3 Er 3.13-3.17, 1 Dy 3.19, 2 Nd 3.23
Bi  0.5000  0.7552  0.2522  3 Er 3.13-3.17, 2 Dy 3.19, 1 Nd 3.23
Bi  0.5000  0.2448  0.7478  3 Er 3.13-3.17, 2 Dy 3.19, 1 Nd 3.23

Summary:
Crystal system: monoclinic
Space-group type: P2/m
DFT total energy, eV per atom: -5.106

# 8
DFT (PBE) results for a relaxed structure of RbNbFeTePd.

Cell: 4.0130 4.0130 8.9772 Å, 90.00 90.00 120.00°
Last column: nearest neighbours and their distance in Å.
Sites, in units of the cell vectors:
Nb  0.3333  0.6667  0.9161  3 Fe 2.54, 3 Pd 2.79
Te  0.0000  0.0000  0.1354  3 Fe 2.50
Rb  0.3333  0.6667  0.4498  3 Pd 3.50, 3 Te 3.65
Pd  0.6667  0.3333  0.7420  1 Fe 2.59, 3 Nb 2.79
Fe  0.6667  0.3333  0.0307  3 Te 2.50, 3 Nb 2.54, 1 Pd 2.59

Summary:
Crystal system: trigonal
Relative energy among the computed polymorphs, meV/atom: 7
Space-group type: P3m1
E_form (uncorrected), meV per atom: -23

# 9
DFT (PBE) results for a relaxed structure of NpPb2Se4.

Cell: 4.0340 7.5936 13.9430 Å, 90.00 90.00 105.40°
Last column: nearest neighbours and their distance in Å.
Sites, in units of the cell vectors:
Np  0.6186  0.2372  0.7500  6 Se 2.83-2.93
Np  0.3814  0.7628  0.2500  6 Se 2.83-2.93
Pb  0.1307  0.2615  0.4319  6 Se 2.94-3.21
Pb  0.8693  0.7385  0.9319  6 Se 2.94-3.21
Pb  0.1307  0.2615  0.0681  6 Se 2.94-3.21
Pb  0.8693  0.7385  0.5681  6 Se 2.94-3.21
Se  0.7904  0.5807  0.1308  2 Np 2.93, 3 Pb 3.00-3.21
Se  0.7904  0.5807  0.3692  2 Np 2.93, 3 Pb 3.00-3.21
Se  0.2096  0.4193  0.8692  2 Np 2.93, 3 Pb 3.00-3.21
Se  0.2096  0.4193  0.6308  2 Np 2.93, 3 Pb 3.00-3.21
Se  0.9835  0.9670  0.7500  2 Np 2.83, 2 Pb 3.04
Se  0.0165  0.0330  0.2500  2 Np 2.83, 2 Pb 3.04
Se  0.5000  0.0000  0.0000  4 Pb 2.94
Se  0.5000  0.0000  0.5000  4 Pb 2.94

Summary:
Crystal system: orthorhombic
Relative energy among the computed polymorphs, meV/atom: 42
Space-group type: Cmcm
E_form (uncorrected), meV per atom: -679

# 10
DFT (PBE) results for a relaxed structure of Ac7Sn4Hg.

Cell: 6.0173 10.0601 8.8336 Å, 78.15 70.09 72.60°
Last column: nearest neighbours and their distance in Å.
Sites, in units of the cell vectors:
Ac  0.7936  0.8640  0.5488  4 Sn 3.35-3.52
Ac  0.2064  0.1360  0.4512  4 Sn 3.35-3.52
Ac  0.0783  0.6785  0.1650  1 Hg 3.23, 1 Sn 3.39
Ac  0.9217  0.3215  0.8350  1 Hg 3.23, 1 Sn 3.39
Ac  0.3507  0.5692  0.7295  5 Sn 3.39-3.58
Ac  0.5000  0.0000  0.0000  2 Hg 3.01
Ac  0.6493  0.4308  0.2705  5 Sn 3.39-3.58
Sn  0.5784  0.2174  0.6258  8 Ac 3.39-3.67
Sn  0.4216  0.7826  0.3742  8 Ac 3.39-3.67
Sn  0.7157  0.6623  0.9063  8 Ac 3.35-3.71
Sn  0.2843  0.3377  0.0937  8 Ac 3.35-3.71
Hg  0.0000  0.0000  0.0000  4 Ac 3.01-3.23

Summary:
Crystal system: monoclinic
Space-group type: C2/m
DFT total energy, eV per atom: -4.148

# 11
DFT (PBE) results for a relaxed structure of CoAgHg2.

Cell: 3.0838 3.0164 7.6878 Å, 90.00 90.00 90.00°
Last column: nearest neighbours and their distance in Å.
Sites, in units of the cell vectors:
Ag  0.5000  0.5000  0.2500  4 Ag 3.02-3.08, 8 Hg 3.03
Co  0.5000  0.5000  0.7500  8 Hg 2.76, 4 Co 3.02-3.08
Hg  0.0000  0.0000  0.9741  4 Co 2.76, 4 Hg 3.02-3.08, 4 Ag 3.03
Hg  0.0000  0.0000  0.5259  4 Co 2.76, 4 Hg 3.02-3.08, 4 Ag 3.03

Summary:
Crystal system: orthorhombic
Relative energy among the computed polymorphs, meV/atom: 0
Space-group type: Pmmm

# 12
DFT (PBE) results for a relaxed structure of KBeCBr.

Cell: 3.4200 4.0111 12.0087 Å, 90.00 90.00 90.00°
Last column: nearest neighbours and their distance in Å.
Sites, in units of the cell vectors:
Be  0.0000  0.5000  0.8547  2 C 1.77
Be  0.5000  0.0000  0.3547  2 C 1.77
K  0.0000  0.0000  0.0528  2 Be 3.11, 4 C 3.25, 4 Br 3.34, 2 K 3.42
K  0.5000  0.5000  0.5528  2 Be 3.11, 4 C 3.25, 4 Br 3.34, 2 K 3.42
C  0.0000  0.0000  0.3940  2 Be 1.77
C  0.5000  0.5000  0.8940  2 Be 1.77
Br  0.0000  0.0000  0.7235  2 Be 2.55
Br  0.5000  0.5000  0.2235  2 Be 2.55

Summary:
Crystal system: orthorhombic
Relative energy among the computed polymorphs, meV/atom: 45
Space-group type: Imm2
E_form (uncorrected), meV per atom: 338

| no. | magnetization (μB per cell) | D(E_F) (states/eV per cell) |
| --- | --- | --- |
| 1 | 0.0 | 2.24 |
| 2 | 0.0 | 3.04 |
| 3 | 0.0 | 27.10 |
| 4 | 0.0 | 3.03 |
| 5 | 0.0 | 3.35 |
| 6 | 0.0 | 1.15 |
| 7 | 0.0 | 1.24 |
| 8 | 0.0 | 1.65 |
| 9 | 6.0 | 18.71 |
| 10 | 0.0 | 11.39 |
| 11 | 1.2 | 5.11 |
| 12 | 4.0 | 0.78 |